Entry from Alexandria: an optimized crystal structure of Cs2SbCl5 (PBE-GGA).

Computed properties:
Volume = 38.73 A^3/atom
Raw total energy = -3.3698 eV/atom
Raw formation energy = -1487 meV per atom
Magnetic moment = 0.0 μB per formula unit

a b c (Å): 12.509 8.042 8.042
angles (deg): 90.00 130.01 90.00
Space group Cm (No. 8)
Inequivalent atoms, fractional coordinates:
Cs 0.000 0.000 0.000 (multiplicity 2)
Cs 0.000 0.500 0.499 (multiplicity 2)
Sb 0.254 0.500 0.254 (multiplicity 2)
Cl 0.004 0.500 0.004 (multiplicity 2)
Cl 0.248 0.267 0.015 (multiplicity 4)
Cl 0.248 0.267 0.481 (multiplicity 4)